[1]
Compound: AgICl
Source: Alexandria via LeMat-Bulk
Functional: PBE
Structure: optimized geometry

Cell: 3.981 3.981 6.513 Å, 90.00 90.00 120.00°
Positions (direct):
I  0.000  0.000  0.076
Ag  0.667  0.333  0.361
Cl  0.333  0.667  0.563

The density of states at the Fermi level comes out at 1.916 states/eV per atom. The space group is P3m1, No. 156. Its electronic total energy is -2.25 eV/atom. Its energy above the most stable polymorph in this dataset is 93 meV/atom. As for the total magnetization: 0.158 μB/atom. As for the uncorrected formation energy: -169 meV per atom.

---

[2]
Compound: Y2NbCS
Source: Alexandria via LeMat-Bulk
Functional: PBE
Structure: optimized geometry

Cell: 5.009 3.837 5.009 Å, 90.00 90.00 90.00°
Positions (direct):
Y  0.000  0.000  0.500
Y  0.500  0.000  0.000
C  0.000  0.000  0.000
Nb  0.500  0.500  0.500
S  0.000  0.500  0.000

The density of states at the Fermi level comes out at 0.865 states/eV per atom. The space group is P4/mmm, No. 123. Its electronic total energy is -6.77 eV/atom. Its energy above the most stable polymorph in this dataset is 0 meV/atom. As for the total magnetization: 0.000 μB/atom. As for the uncorrected formation energy: 502 meV per atom.